Below is an optimized crystal structure of NaYSn, with properties calculated at the PBE level.

The space group is Pnma (No. 62) and the conventional cell measures 7.6202, 4.6558 and 9.4422 Å, with angles of 90.00, 90.00 and 90.00 degrees. The distinct sites, in fractional coordinates, are Na at (0.1328, 0.2500, 0.0478), Y at (0.0538, 0.2500, 0.6745) and Sn at (0.2236, 0.2500, 0.3619).

The calculation puts the density of states at the Fermi level at 0.006 states/eV/atom. For the relative energy among the computed polymorphs, the calculation gives 0.072 eV per atom. The calculation puts the volume at 27.92 Å³/atom. The density is 4.57 g/cm3. The calculation puts the total energy at -13.066 eV/f.u. The formation energy comes out at -123.5 kJ/mol of formula units.